<a>
# PBE NaMg12In6, relaxed
data_NaMg12In6
_chemical_formula_sum 'Na3 Mg36 In18'
_cell_length_a 10.8950
_cell_length_b 10.8950
_cell_length_c 13.3489
_cell_angle_alpha 90.00
_cell_angle_beta 90.00
_cell_angle_gamma 120.00
_symmetry_space_group_name_H-M 'R -3'
_symmetry_Int_Tables_number 148
_symmetry_space_group_name_Hall '-R 3'
loop_
_atom_site_label
_atom_site_type_symbol
_atom_site_fract_x
_atom_site_fract_y
_atom_site_fract_z
Na1 Na 0.0000 0.0000 0.0000
Mg1 Mg 0.0408 0.1846 0.8098
Mg2 Mg 0.0648 0.8490 0.4138
In1 In 0.0196 0.4328 0.7079
# Crystal system = trigonal
# Mass density = 3643 kg/m3



<b>
# PBE NaMg12In6, relaxed
data_NaMg12In6
_chemical_formula_sum 'Na3 Mg36 In18'
_cell_length_a 13.3285
_cell_length_b 13.3285
_cell_length_c 9.7687
_cell_angle_alpha 90.00
_cell_angle_beta 90.00
_cell_angle_gamma 120.00
_symmetry_space_group_name_H-M 'R -3 m'
_symmetry_Int_Tables_number 166
_symmetry_space_group_name_Hall '-R 3 2"'
loop_
_atom_site_label
_atom_site_type_symbol
_atom_site_fract_x
_atom_site_fract_y
_atom_site_fract_z
Na1 Na 0.0000 0.0000 0.0000
Mg1 Mg 0.0000 0.3841 0.5000
Mg2 Mg 0.0827 0.1654 0.3053
In1 In 0.0460 0.5230 0.2465
# Crystal system = trigonal
# Mass density = 3326 kg/m3



Last place for stability: <b>



<a>
# PBE NaMg2In8, relaxed
data_NaMg2In8
_chemical_formula_sum 'Na2 Mg4 In16'
_cell_length_a 8.431
_cell_length_b 16.577
_cell_length_c 5.677
_cell_angle_alpha 90.00
_cell_angle_beta 130.99
_cell_angle_gamma 90.00
_symmetry_space_group_name_H-M 'C 1 2/m 1'
_symmetry_Int_Tables_number 12
_symmetry_space_group_name_Hall '-C 2y'
loop_
_atom_site_label
_atom_site_type_symbol
_atom_site_fract_x
_atom_site_fract_y
_atom_site_fract_z
Na1 Na 0.000 0.000 0.000
Mg1 Mg 0.000 0.325 0.500
In1 In 0.000 0.200 0.000
In2 In 0.051 0.500 0.303
In3 In 0.238 0.141 0.760
# Crystal system = monoclinic
# Mass density = 5490 kg/m3



<b>
# PBE NaMg2In8, relaxed
data_NaMg2In8
_chemical_formula_sum 'Na2 Mg4 In16'
_cell_length_a 16.528
_cell_length_b 4.716
_cell_length_c 7.545
_cell_angle_alpha 90.00
_cell_angle_beta 107.01
_cell_angle_gamma 90.00
_symmetry_space_group_name_H-M 'C 1 2/m 1'
_symmetry_Int_Tables_number 12
_symmetry_space_group_name_Hall '-C 2y'
loop_
_atom_site_label
_atom_site_type_symbol
_atom_site_fract_x
_atom_site_fract_y
_atom_site_fract_z
Na1 Na 0.000 0.000 0.000
Mg1 Mg 0.229 0.500 0.641
In1 In 0.049 0.500 0.732
In2 In 0.096 0.000 0.468
In3 In 0.141 0.500 0.201
In4 In 0.184 0.000 0.917
# Crystal system = monoclinic
# Mass density = 5848 kg/m3



Last place for stability: <a>



<a>
# PBE NaMgInSb, relaxed
data_NaMgInSb
_chemical_formula_sum 'Na1 Mg1 In1 Sb1'
_cell_length_a 3.758
_cell_length_b 3.758
_cell_length_c 7.401
_cell_angle_alpha 90.00
_cell_angle_beta 90.00
_cell_angle_gamma 90.00
_symmetry_space_group_name_H-M 'P 4 m m'
_symmetry_Int_Tables_number 99
_symmetry_space_group_name_Hall 'P 4 -2'
loop_
_atom_site_label
_atom_site_type_symbol
_atom_site_fract_x
_atom_site_fract_y
_atom_site_fract_z
Na1 Na 0.000 0.000 0.000
Mg1 Mg 0.000 0.000 0.487
In1 In 0.500 0.500 0.720
Sb1 Sb 0.500 0.500 0.279
# Crystal system = tetragonal
# Mass density = 4509 kg/m3



<b>
# PBE NaMgInSb, relaxed
data_NaMgInSb
_chemical_formula_sum 'Na4 Mg4 In4 Sb4'
_cell_length_a 7.463
_cell_length_b 7.463
_cell_length_c 7.463
_cell_angle_alpha 90.00
_cell_angle_beta 90.00
_cell_angle_gamma 90.00
_symmetry_space_group_name_H-M 'F -4 3 m'
_symmetry_Int_Tables_number 216
_symmetry_space_group_name_Hall 'F -4 2 3'
loop_
_atom_site_label
_atom_site_type_symbol
_atom_site_fract_x
_atom_site_fract_y
_atom_site_fract_z
Na1 Na 0.000 0.000 0.000
Mg1 Mg 0.000 0.000 0.500
In1 In 0.250 0.250 0.250
Sb1 Sb 0.250 0.250 0.750
# Crystal system = cubic
# Mass density = 4535 kg/m3



Last place for stability: <b>



<a>
# PBE NaMgTlIn, relaxed
data_NaMgTlIn
_chemical_formula_sum 'Na4 Mg4 Tl4 In4'
_cell_length_a 7.445
_cell_length_b 7.445
_cell_length_c 7.445
_cell_angle_alpha 90.00
_cell_angle_beta 90.00
_cell_angle_gamma 90.00
_symmetry_space_group_name_H-M 'F -4 3 m'
_symmetry_Int_Tables_number 216
_symmetry_space_group_name_Hall 'F -4 2 3'
loop_
_atom_site_label
_atom_site_type_symbol
_atom_site_fract_x
_atom_site_fract_y
_atom_site_fract_z
Na1 Na 0.000 0.000 0.000
Mg1 Mg 0.000 0.000 0.500
Tl1 Tl 0.250 0.250 0.750
In1 In 0.250 0.250 0.250
# Crystal system = cubic
# Mass density = 5900 kg/m3



<b>
# PBE NaMgTlIn, relaxed
data_NaMgTlIn
_chemical_formula_sum 'Na1 Mg1 Tl1 In1'
_cell_length_a 3.349
_cell_length_b 3.349
_cell_length_c 9.177
_cell_angle_alpha 90.00
_cell_angle_beta 90.00
_cell_angle_gamma 90.00
_symmetry_space_group_name_H-M 'P 4 m m'
_symmetry_Int_Tables_number 99
_symmetry_space_group_name_Hall 'P 4 -2'
loop_
_atom_site_label
_atom_site_type_symbol
_atom_site_fract_x
_atom_site_fract_y
_atom_site_fract_z
Na1 Na 0.000 0.000 0.000
Mg1 Mg 0.000 0.000 0.492
Tl1 Tl 0.500 0.500 0.731
In1 In 0.500 0.500 0.263
# Crystal system = tetragonal
# Mass density = 5912 kg/m3



Last place for stability: <a>



<a>
# PBE MgNb2In2, relaxed
data_MgNb2In2
_chemical_formula_sum 'Mg2 Nb4 In4'
_cell_length_a 7.377
_cell_length_b 7.377
_cell_length_c 3.836
_cell_angle_alpha 90.00
_cell_angle_beta 90.00
_cell_angle_gamma 90.00
_symmetry_space_group_name_H-M 'P 4/m b m'
_symmetry_Int_Tables_number 127
_symmetry_space_group_name_Hall '-P 4 2ab'
loop_
_atom_site_label
_atom_site_type_symbol
_atom_site_fract_x
_atom_site_fract_y
_atom_site_fract_z
Mg1 Mg 0.000 0.000 0.000
Nb1 Nb 0.156 0.344 0.500
In1 In 0.141 0.641 0.000
# Crystal system = tetragonal
# Mass density = 6996 kg/m3



<b>
# PBE MgNb2In2, relaxed
data_MgNb2In2
_chemical_formula_sum 'Mg2 Nb4 In4'
_cell_length_a 7.827
_cell_length_b 7.827
_cell_length_c 3.584
_cell_angle_alpha 90.00
_cell_angle_beta 90.00
_cell_angle_gamma 90.00
_symmetry_space_group_name_H-M 'P 4/m b m'
_symmetry_Int_Tables_number 127
_symmetry_space_group_name_Hall '-P 4 2ab'
loop_
_atom_site_label
_atom_site_type_symbol
_atom_site_fract_x
_atom_site_fract_y
_atom_site_fract_z
Mg1 Mg 0.000 0.000 0.000
Nb1 Nb 0.114 0.386 0.000
In1 In 0.182 0.682 0.500
# Crystal system = tetragonal
# Mass density = 6653 kg/m3



Last place for stability: <a>



<a>
# PBE Nd4MgIn, relaxed
data_Nd4MgIn
_chemical_formula_sum 'Nd8 Mg2 In2'
_cell_length_a 9.431
_cell_length_b 5.223
_cell_length_c 9.514
_cell_angle_alpha 90.00
_cell_angle_beta 112.80
_cell_angle_gamma 90.00
_symmetry_space_group_name_H-M 'C 1 2/m 1'
_symmetry_Int_Tables_number 12
_symmetry_space_group_name_Hall '-C 2y'
loop_
_atom_site_label
_atom_site_type_symbol
_atom_site_fract_x
_atom_site_fract_y
_atom_site_fract_z
Nd1 Nd 0.121 0.000 0.374
Nd2 Nd 0.127 0.500 0.874
Mg1 Mg 0.000 0.000 0.000
In1 In 0.000 0.500 0.500
# Crystal system = monoclinic
# Mass density = 5505 kg/m3



<b>
# PBE Nd4MgIn, relaxed
data_Nd4MgIn
_chemical_formula_sum 'Nd4 Mg1 In1'
_cell_length_a 3.486
_cell_length_b 5.779
_cell_length_c 9.733
_cell_angle_alpha 90.00
_cell_angle_beta 90.00
_cell_angle_gamma 90.00
_symmetry_space_group_name_H-M 'P m m m'
_symmetry_Int_Tables_number 47
_symmetry_space_group_name_Hall '-P 2 2'
loop_
_atom_site_label
_atom_site_type_symbol
_atom_site_fract_x
_atom_site_fract_y
_atom_site_fract_z
Nd1 Nd 0.000 0.000 0.192
Nd2 Nd 0.500 0.500 0.300
Mg1 Mg 0.500 0.000 0.500
In1 In 0.000 0.500 0.000
# Crystal system = orthorhombic
# Mass density = 6063 kg/m3



Last place for stability: <a>



<a>
# PBE Nd4MgIn2, relaxed
data_Nd4MgIn2
_chemical_formula_sum 'Nd12 Mg3 In6'
_cell_length_a 5.4177
_cell_length_b 5.4177
_cell_length_c 25.9517
_cell_angle_alpha 90.00
_cell_angle_beta 90.00
_cell_angle_gamma 120.00
_symmetry_space_group_name_H-M 'R -3 m'
_symmetry_Int_Tables_number 166
_symmetry_space_group_name_Hall '-R 3 2"'
loop_
_atom_site_label
_atom_site_type_symbol
_atom_site_fract_x
_atom_site_fract_y
_atom_site_fract_z
Nd1 Nd 0.0000 0.0000 0.1150
Nd2 Nd 0.0000 0.0000 0.3684
Mg1 Mg 0.0000 0.0000 0.5000
In1 In 0.0000 0.0000 0.2429
# Crystal system = trigonal
# Mass density = 6275 kg/m3



<b>
# PBE Nd4MgIn2, relaxed
data_Nd4MgIn2
_chemical_formula_sum 'Nd8 Mg2 In4'
_cell_length_a 7.877
_cell_length_b 6.470
_cell_length_c 9.251
_cell_angle_alpha 90.00
_cell_angle_beta 112.97
_cell_angle_gamma 90.00
_symmetry_space_group_name_H-M 'P 1 21/m 1'
_symmetry_Int_Tables_number 11
_symmetry_space_group_name_Hall '-P 2yb'
loop_
_atom_site_label
_atom_site_type_symbol
_atom_site_fract_x
_atom_site_fract_y
_atom_site_fract_z
Nd1 Nd 0.123 0.250 0.062
Nd2 Nd 0.140 0.003 0.722
Nd3 Nd 0.312 0.750 0.287
Mg1 Mg 0.453 0.750 0.662
In1 In 0.257 0.250 0.457
In2 In 0.477 0.750 0.011
# Crystal system = monoclinic
# Mass density = 6357 kg/m3



Last place for stability: <b>



<a>
# PBE Nd2Mg2In, relaxed
data_Nd2Mg2In
_chemical_formula_sum 'Nd4 Mg4 In2'
_cell_length_a 5.111
_cell_length_b 15.856
_cell_length_c 3.421
_cell_angle_alpha 90.00
_cell_angle_beta 90.00
_cell_angle_gamma 90.00
_symmetry_space_group_name_H-M 'C m m m'
_symmetry_Int_Tables_number 65
_symmetry_space_group_name_Hall '-C 2 2'
loop_
_atom_site_label
_atom_site_type_symbol
_atom_site_fract_x
_atom_site_fract_y
_atom_site_fract_z
Nd1 Nd 0.000 0.110 0.000
Mg1 Mg 0.000 0.299 0.500
In1 In 0.000 0.500 0.500
# Crystal system = orthorhombic
# Mass density = 5414 kg/m3



<b>
# PBE Nd2Mg2In, relaxed
data_Nd2Mg2In
_chemical_formula_sum 'Nd8 Mg8 In4'
_cell_length_a 11.469
_cell_length_b 5.198
_cell_length_c 9.802
_cell_angle_alpha 90.00
_cell_angle_beta 107.55
_cell_angle_gamma 90.00
_symmetry_space_group_name_H-M 'C 1 2/m 1'
_symmetry_Int_Tables_number 12
_symmetry_space_group_name_Hall '-C 2y'
loop_
_atom_site_label
_atom_site_type_symbol
_atom_site_fract_x
_atom_site_fract_y
_atom_site_fract_z
Nd1 Nd 0.052 0.000 0.350
Nd2 Nd 0.171 0.000 0.062
Mg1 Mg 0.015 0.500 0.858
Mg2 Mg 0.135 0.500 0.582
In1 In 0.247 0.500 0.298
# Crystal system = monoclinic
# Mass density = 5387 kg/m3



Last place for stability: <a>



<a>
# PBE Nd3Mg2In, relaxed
data_Nd3Mg2In
_chemical_formula_sum 'Nd6 Mg4 In2'
_cell_length_a 5.458
_cell_length_b 16.463
_cell_length_c 3.907
_cell_angle_alpha 90.00
_cell_angle_beta 90.00
_cell_angle_gamma 90.00
_symmetry_space_group_name_H-M 'C m m m'
_symmetry_Int_Tables_number 65
_symmetry_space_group_name_Hall '-C 2 2'
loop_
_atom_site_label
_atom_site_type_symbol
_atom_site_fract_x
_atom_site_fract_y
_atom_site_fract_z
Nd1 Nd 0.000 0.000 0.000
Nd2 Nd 0.000 0.334 0.000
Mg1 Mg 0.000 0.170 0.500
In1 In 0.000 0.500 0.500
# Crystal system = orthorhombic
# Mass density = 5640 kg/m3



<b>
# PBE Nd3Mg2In, relaxed
data_Nd3Mg2In
_chemical_formula_sum 'Nd3 Mg2 In1'
_cell_length_a 3.876
_cell_length_b 3.876
_cell_length_c 11.707
_cell_angle_alpha 90.00
_cell_angle_beta 90.00
_cell_angle_gamma 90.00
_symmetry_space_group_name_H-M 'P 4/m m m'
_symmetry_Int_Tables_number 123
_symmetry_space_group_name_Hall '-P 4 2'
loop_
_atom_site_label
_atom_site_type_symbol
_atom_site_fract_x
_atom_site_fract_y
_atom_site_fract_z
Nd1 Nd 0.000 0.000 0.000
Nd2 Nd 0.000 0.000 0.334
Mg1 Mg 0.500 0.500 0.164
In1 In 0.500 0.500 0.500
# Crystal system = tetragonal
# Mass density = 5628 kg/m3



Last place for stability: <b>



<a>
# PBE MgIn2Ni3, relaxed
data_MgIn2Ni3
_chemical_formula_sum 'Mg1 In2 Ni3'
_cell_length_a 3.152
_cell_length_b 3.152
_cell_length_c 9.180
_cell_angle_alpha 90.00
_cell_angle_beta 90.00
_cell_angle_gamma 90.00
_symmetry_space_group_name_H-M 'P 4/m m m'
_symmetry_Int_Tables_number 123
_symmetry_space_group_name_Hall '-P 4 2'
loop_
_atom_site_label
_atom_site_type_symbol
_atom_site_fract_x
_atom_site_fract_y
_atom_site_fract_z
Mg1 Mg 0.000 0.000 0.000
In1 In 0.000 0.000 0.329
Ni1 Ni 0.500 0.500 0.164
Ni2 Ni 0.500 0.500 0.500
# Crystal system = tetragonal
# Mass density = 7828 kg/m3



<b>
# PBE MgIn2Ni3, relaxed
data_MgIn2Ni3
_chemical_formula_sum 'Mg2 In4 Ni6'
_cell_length_a 4.340
_cell_length_b 13.088
_cell_length_c 3.207
_cell_angle_alpha 90.00
_cell_angle_beta 90.00
_cell_angle_gamma 90.00
_symmetry_space_group_name_H-M 'C m m m'
_symmetry_Int_Tables_number 65
_symmetry_space_group_name_Hall '-C 2 2'
loop_
_atom_site_label
_atom_site_type_symbol
_atom_site_fract_x
_atom_site_fract_y
_atom_site_fract_z
Mg1 Mg 0.000 0.000 0.000
In1 In 0.000 0.338 0.000
Ni1 Ni 0.000 0.170 0.500
Ni2 Ni 0.000 0.500 0.500
# Crystal system = orthorhombic
# Mass density = 7840 kg/m3



Last place for stability: <a>



<a>
# PBE Mg3InNi, relaxed
data_Mg3InNi
_chemical_formula_sum 'Mg12 In4 Ni4'
_cell_length_a 10.384
_cell_length_b 7.859
_cell_length_c 7.004
_cell_angle_alpha 90.00
_cell_angle_beta 130.79
_cell_angle_gamma 90.00
_symmetry_space_group_name_H-M 'C 1 2/m 1'
_symmetry_Int_Tables_number 12
_symmetry_space_group_name_Hall '-C 2y'
loop_
_atom_site_label
_atom_site_type_symbol
_atom_site_fract_x
_atom_site_fract_y
_atom_site_fract_z
Mg1 Mg 0.051 0.000 0.255
Mg2 Mg 0.228 0.313 0.176
In1 In 0.079 0.500 0.379
Ni1 Ni 0.240 0.500 0.869
# Crystal system = monoclinic
# Mass density = 3782 kg/m3



<b>
# PBE Mg3InNi, relaxed
data_Mg3InNi
_chemical_formula_sum 'Mg3 In1 Ni1'
_cell_length_a 5.244
_cell_length_b 5.244
_cell_length_c 5.244
_cell_angle_alpha 90.00
_cell_angle_beta 90.00
_cell_angle_gamma 90.00
_symmetry_space_group_name_H-M 'P m -3 m'
_symmetry_Int_Tables_number 221
_symmetry_space_group_name_Hall '-P 4 2 3'
loop_
_atom_site_label
_atom_site_type_symbol
_atom_site_fract_x
_atom_site_fract_y
_atom_site_fract_z
Mg1 Mg 0.000 0.000 0.500
In1 In 0.000 0.000 0.000
Ni1 Ni 0.500 0.500 0.500
# Crystal system = cubic
# Mass density = 2838 kg/m3



<c>
# PBE Mg3InNi, relaxed
data_Mg3InNi
_chemical_formula_sum 'Mg3 In1 Ni1'
_cell_length_a 4.853
_cell_length_b 4.853
_cell_length_c 4.853
_cell_angle_alpha 90.00
_cell_angle_beta 90.00
_cell_angle_gamma 90.00
_symmetry_space_group_name_H-M 'P m -3 m'
_symmetry_Int_Tables_number 221
_symmetry_space_group_name_Hall '-P 4 2 3'
loop_
_atom_site_label
_atom_site_type_symbol
_atom_site_fract_x
_atom_site_fract_y
_atom_site_fract_z
Mg1 Mg 0.000 0.000 0.500
In1 In 0.500 0.500 0.500
Ni1 Ni 0.000 0.000 0.000
# Crystal system = cubic
# Mass density = 3580 kg/m3



<d>
# PBE Mg3InNi, relaxed
data_Mg3InNi
_chemical_formula_sum 'Mg6 In2 Ni2'
_cell_length_a 8.675
_cell_length_b 3.042
_cell_length_c 7.469
_cell_angle_alpha 90.00
_cell_angle_beta 90.00
_cell_angle_gamma 90.00
_symmetry_space_group_name_H-M 'P m m a'
_symmetry_Int_Tables_number 51
_symmetry_space_group_name_Hall '-P 2a 2a'
loop_
_atom_site_label
_atom_site_type_symbol
_atom_site_fract_x
_atom_site_fract_y
_atom_site_fract_z
Mg1 Mg 0.050 0.000 0.215
Mg2 Mg 0.250 0.000 0.549
In1 In 0.250 0.500 0.924
Ni1 Ni 0.000 0.500 0.500
# Crystal system = orthorhombic
# Mass density = 4152 kg/m3



Last place for stability: <b>